(1)
First-principles (PBE) data for a geometry-optimized TaNb3As structure, as listed in the Alexandria database.

Summary:
formation energy: 10 meV per atom
relative energy among the computed polymorphs: 0 meV per atom
total DFT energy (no corrections): -0.686 Ry per atom

a = 4.7953 Å, b = 5.4803 Å, c = 8.7449 Å
α = 107.33°, β = 90.00°, γ = 115.95°
Atoms (fractional coordinates):
Ta 0.3709 0.7419 0.5388
Ta 0.6291 0.2581 0.4612
Nb 0.8691 0.7382 0.7369
Nb 0.1309 0.2618 0.2631
Nb 0.6069 0.2137 0.8253
Nb 0.3931 0.7863 0.1747
Nb 0.8730 0.7461 0.3592
Nb 0.1270 0.2539 0.6408
As 0.1350 0.2700 0.9512
As 0.8650 0.7300 0.0488

---

(2)
First-principles (PBE) data for a geometry-optimized TaNbAs2 structure, as listed in the Alexandria database.

Summary:
formation energy: -353 meV per atom
relative energy among the computed polymorphs: 0 meV per atom
total DFT energy (no corrections): -0.600 Ry per atom

a = 4.5546 Å, b = 4.5546 Å, c = 4.5546 Å
α = 60.00°, β = 60.00°, γ = 60.00°
Atoms (fractional coordinates):
Nb 0.0000 0.0000 0.0000
As 0.2500 0.2500 0.2500
As 0.7500 0.7500 0.7500
Ta 0.5000 0.5000 0.5000

---

(3)
First-principles (PBE) data for a geometry-optimized TaNbAs2 structure, as listed in the Alexandria database.

Summary:
formation energy: -119 meV per atom
relative energy among the computed polymorphs: 234 meV per atom
total DFT energy (no corrections): -0.582 Ry per atom

a = 3.6704 Å, b = 3.6704 Å, c = 6.6449 Å
α = 73.97°, β = 73.97°, γ = 60.00°
Atoms (fractional coordinates):
Nb 0.5000 0.5000 0.5000
As 0.2509 0.2509 0.2472
As 0.7491 0.7491 0.7528
Ta 0.0000 0.0000 0.0000

---

(4)
First-principles (PBE) data for a geometry-optimized Ta3NbAs structure, as listed in the Alexandria database.

Summary:
formation energy: 160 meV per atom
relative energy among the computed polymorphs: 0 meV per atom
total DFT energy (no corrections): -0.727 Ry per atom

a = 5.5166 Å, b = 5.4227 Å, c = 6.5512 Å
α = 90.00°, β = 90.00°, γ = 90.00°
Atoms (fractional coordinates):
Ta 0.3438 0.3630 0.2006
Ta 0.4267 0.9492 0.9507
Ta 0.9268 0.4035 0.4507
Ta 0.8438 0.9898 0.7007
Ta 0.9263 0.4035 0.9508
Ta 0.4262 0.9492 0.4508
Nb 0.5061 0.3646 0.7007
Nb 0.0061 0.9882 0.2006
As 0.1752 0.6771 0.7010
As 0.6752 0.6756 0.2010

---

(5)
First-principles (PBE) data for a geometry-optimized TaNb2As3 structure, as listed in the Alexandria database.

Summary:
formation energy: -530 meV per atom
total DFT energy (no corrections): -0.602 Ry per atom

a = 3.4852 Å, b = 6.1626 Å, c = 10.0104 Å
α = 90.00°, β = 90.00°, γ = 90.00°
Atoms (fractional coordinates):
Ta 0.0000 0.0126 0.8900
Ta 0.0000 0.5126 0.1100
Nb 0.0000 0.9941 0.2148
Nb 0.5000 0.0065 0.4586
Nb 0.0000 0.4941 0.7852
Nb 0.5000 0.5065 0.5414
As 0.5000 0.1882 0.0593
As 0.5000 0.1876 0.7156
As 0.0000 0.3122 0.3781
As 0.5000 0.6882 0.9407
As 0.5000 0.6876 0.2844
As 0.0000 0.8122 0.6219

---

(6)
First-principles (PBE) data for a geometry-optimized TaNb2TeAs structure, as listed in the Alexandria database.

Summary:
formation energy without anion corrections: 1.04 eV/atom
total DFT energy (no corrections): -0.509 Ry per atom

a = 5.0896 Å, b = 4.7590 Å, c = 5.0896 Å
α = 90.00°, β = 90.00°, γ = 90.00°
Atoms (fractional coordinates):
Nb 0.0000 0.0000 0.5000
Nb 0.5000 0.0000 0.0000
Te 0.5000 0.5000 0.5000
As 0.0000 0.5000 0.0000
Ta 0.0000 0.0000 0.0000

---

(7)
First-principles (PBE) data for a geometry-optimized TbNbAs2 structure, as listed in the Alexandria database.

Summary:
formation energy: -981 meV per atom
relative energy among the computed polymorphs: 0 meV per atom
total DFT energy (no corrections): -0.513 Ry per atom

a = 3.8013 Å, b = 3.8013 Å, c = 7.1252 Å
α = 74.53°, β = 74.53°, γ = 60.00°
Atoms (fractional coordinates):
Tb 0.6710 0.6710 0.9869
Nb 0.4965 0.4965 0.5106
As 0.0911 0.0911 0.7268
As 0.2414 0.2414 0.2757

---

(8)
First-principles (PBE) data for a geometry-optimized TbNbAs2 structure, as listed in the Alexandria database.

Summary:
formation energy: -910 meV per atom
relative energy among the computed polymorphs: 71 meV per atom
total DFT energy (no corrections): -0.508 Ry per atom

a = 3.8885 Å, b = 3.8885 Å, c = 6.8340 Å
α = 73.47°, β = 73.47°, γ = 60.00°
Atoms (fractional coordinates):
Nb 0.0000 0.0000 0.0000
Tb 0.5000 0.5000 0.5000
As 0.2579 0.2579 0.2263
As 0.7421 0.7421 0.7737

---

(9)
First-principles (PBE) data for a geometry-optimized TbNbAs structure, as listed in the Alexandria database.

Summary:
formation energy: -287 meV per atom
total DFT energy (no corrections): -0.495 Ry per atom

a = 3.8517 Å, b = 4.1466 Å, c = 10.5621 Å
α = 78.68°, β = 90.00°, γ = 90.00°
Atoms (fractional coordinates):
Nb 0.7500 0.7536 0.4927
Nb 0.2500 0.2464 0.5073
Tb 0.2500 0.0743 0.8514
Tb 0.7500 0.9257 0.1486
As 0.2500 0.6651 0.6698
As 0.7500 0.3349 0.3302

---

(10)
First-principles (PBE) data for a geometry-optimized NbTc2As2 structure, as listed in the Alexandria database.

Summary:
formation energy: 97 meV per atom
relative energy among the computed polymorphs: 157 meV per atom
total DFT energy (no corrections): -0.582 Ry per atom

a = 4.2530 Å, b = 4.2530 Å, c = 5.5790 Å
α = 67.59°, β = 67.59°, γ = 90.00°
Atoms (fractional coordinates):
As 0.3732 0.3732 0.2536
As 0.6268 0.6268 0.7464
Nb 0.0000 0.0000 0.0000
Tc 0.7500 0.2500 0.5000
Tc 0.2500 0.7500 0.5000

---

(11)
First-principles (PBE) data for a geometry-optimized NbTc2As2 structure, as listed in the Alexandria database.

Summary:
formation energy: -61 meV per atom
relative energy among the computed polymorphs: 0 meV per atom
total DFT energy (no corrections): -0.594 Ry per atom

a = 7.2051 Å, b = 7.2051 Å, c = 2.9972 Å
α = 90.00°, β = 90.00°, γ = 90.00°
Atoms (fractional coordinates):
As 0.3445 0.8445 0.0000
As 0.8445 0.6555 0.0000
As 0.6555 0.1555 0.0000
As 0.1555 0.3445 0.0000
Nb 0.0000 0.0000 0.0000
Nb 0.5000 0.5000 0.0000
Tc 0.1430 0.6430 0.5000
Tc 0.6430 0.8570 0.5000
Tc 0.8570 0.3570 0.5000
Tc 0.3570 0.1430 0.5000

---

(12)
First-principles (PBE) data for a geometry-optimized Nb3TcAs structure, as listed in the Alexandria database.

Summary:
formation energy: 966 meV per atom
relative energy among the computed polymorphs: 0 meV per atom
total DFT energy (no corrections): -0.594 Ry per atom

a = 4.6819 Å, b = 4.6819 Å, c = 4.6819 Å
α = 90.00°, β = 90.00°, γ = 90.00°
Atoms (fractional coordinates):
As 0.0000 0.0000 0.0000
Nb 0.0000 0.5000 0.0000
Nb 0.0000 0.0000 0.5000
Nb 0.5000 0.0000 0.0000
Tc 0.5000 0.5000 0.5000

---

(13)
First-principles (PBE) data for a geometry-optimized NbTc2As4 structure, as listed in the Alexandria database.

Summary:
formation energy: -250 meV per atom
total DFT energy (no corrections): -0.537 Ry per atom

a = 6.7958 Å, b = 6.7958 Å, c = 7.1851 Å
α = 105.14°, β = 105.14°, γ = 116.82°
Atoms (fractional coordinates):
As 0.8222 0.3380 0.8471
As 0.3380 0.8222 0.3471
As 0.3135 0.7580 0.8388
As 0.7580 0.3135 0.3388
As 0.1358 0.2074 0.6473
As 0.7313 0.7118 0.1685
As 0.7118 0.7313 0.6685
As 0.2074 0.1358 0.1473
Nb 0.2132 0.4610 0.4345
Nb 0.4610 0.2132 0.9345
Tc 0.4798 0.2440 0.5353
Tc 0.7945 0.0508 0.0300
Tc 0.0508 0.7945 0.5300
Tc 0.2440 0.4798 0.0353

---

(14)
First-principles (PBE) data for a geometry-optimized Nb3TcAs structure, as listed in the Alexandria database.

Summary:
formation energy: 1015 meV per atom
relative energy among the computed polymorphs: 48 meV per atom
total DFT energy (no corrections): -0.590 Ry per atom

a = 4.8116 Å, b = 4.8116 Å, c = 4.8116 Å
α = 90.00°, β = 90.00°, γ = 90.00°
Atoms (fractional coordinates):
As 0.5000 0.5000 0.5000
Nb 0.0000 0.5000 0.0000
Nb 0.0000 0.0000 0.5000
Nb 0.5000 0.0000 0.0000
Tc 0.0000 0.0000 0.0000

---

(15)
First-principles (PBE) data for a geometry-optimized NbTcAs structure, as listed in the Alexandria database.

Summary:
formation energy: -401 meV per atom
total DFT energy (no corrections): -0.644 Ry per atom

a = 6.7121 Å, b = 7.3705 Å, c = 7.6241 Å
α = 118.91°, β = 116.12°, γ = 90.00°
Atoms (fractional coordinates):
Nb 0.7480 0.0343 0.5686
Nb 0.1793 0.9657 0.4314
Nb 0.3411 0.7530 0.0060
Nb 0.3351 0.2470 0.9940
Nb 0.1502 0.4387 0.3775
Nb 0.7728 0.5613 0.6225
Tc 0.0001 0.0000 0.0000
Tc 0.0001 0.5000 0.0000
Tc 0.5038 0.4140 0.7479
Tc 0.7559 0.5860 0.2521
Tc 0.7559 0.1661 0.2521
Tc 0.5038 0.8339 0.7479
As 0.7132 0.2177 0.9353
As 0.7779 0.7823 0.0647
As 0.4227 0.1709 0.3342
As 0.0885 0.8291 0.6658
As 0.0885 0.3367 0.6658
As 0.4227 0.6633 0.3342

---

(16)
First-principles (PBE) data for a geometry-optimized Nb2TcAs2 structure, as listed in the Alexandria database.

Summary:
formation energy: -240 meV per atom
total DFT energy (no corrections): -0.603 Ry per atom

a = 6.9026 Å, b = 6.9026 Å, c = 3.4572 Å
α = 90.00°, β = 90.00°, γ = 90.00°
Atoms (fractional coordinates):
As 0.3489 0.8489 0.0000
As 0.8489 0.6511 0.0000
As 0.6511 0.1511 0.0000
As 0.1511 0.3489 0.0000
Nb 0.1497 0.6497 0.5000
Nb 0.6497 0.8503 0.5000
Nb 0.8503 0.3503 0.5000
Nb 0.3503 0.1497 0.5000
Tc 0.0000 0.0000 0.0000
Tc 0.5000 0.5000 0.0000

---

(17)
First-principles (PBE) data for a geometry-optimized NbTc3As structure, as listed in the Alexandria database.

Summary:
formation energy: 839 meV per atom
relative energy among the computed polymorphs: 0 meV per atom
total DFT energy (no corrections): -0.612 Ry per atom

a = 4.4815 Å, b = 4.4815 Å, c = 4.4815 Å
α = 90.00°, β = 90.00°, γ = 90.00°
Atoms (fractional coordinates):
As 0.0000 0.0000 0.0000
Nb 0.5000 0.5000 0.5000
Tc 0.0000 0.5000 0.0000
Tc 0.0000 0.0000 0.5000
Tc 0.5000 0.0000 0.0000

---

(18)
First-principles (PBE) data for a geometry-optimized NbTc3As structure, as listed in the Alexandria database.

Summary:
formation energy: 1831 meV per atom
relative energy among the computed polymorphs: 992 meV per atom
total DFT energy (no corrections): -0.539 Ry per atom

a = 4.7427 Å, b = 4.7427 Å, c = 4.7427 Å
α = 90.00°, β = 90.00°, γ = 90.00°
Atoms (fractional coordinates):
As 0.5000 0.5000 0.5000
Nb 0.0000 0.0000 0.0000
Tc 0.0000 0.5000 0.0000
Tc 0.0000 0.0000 0.5000
Tc 0.5000 0.0000 0.0000

---

(19)
First-principles (PBE) data for a geometry-optimized NbTcAs3 structure, as listed in the Alexandria database.

Summary:
formation energy: 841 meV per atom
relative energy among the computed polymorphs: 0 meV per atom
total DFT energy (no corrections): -0.444 Ry per atom

a = 4.7963 Å, b = 4.7963 Å, c = 4.7963 Å
α = 90.00°, β = 90.00°, γ = 90.00°
Atoms (fractional coordinates):
As 0.0000 0.5000 0.0000
As 0.0000 0.0000 0.5000
As 0.5000 0.0000 0.0000
Nb 0.5000 0.5000 0.5000
Tc 0.0000 0.0000 0.0000

---

(20)
First-principles (PBE) data for a geometry-optimized NbTeAs3 structure, as listed in the Alexandria database.

Summary:
formation energy without anion corrections: 0.36 eV/atom
relative energy among the computed polymorphs: 0 meV per atom
total DFT energy (no corrections): -0.373 Ry per atom

a = 5.0326 Å, b = 5.0326 Å, c = 5.0326 Å
α = 90.00°, β = 90.00°, γ = 90.00°
Atoms (fractional coordinates):
Nb 0.0000 0.0000 0.0000
Te 0.5000 0.5000 0.5000
As 0.0000 0.5000 0.0000
As 0.0000 0.0000 0.5000
As 0.5000 0.0000 0.0000

---

(21)
First-principles (PBE) data for a geometry-optimized NbTe3As structure, as listed in the Alexandria database.

Summary:
formation energy without anion corrections: 1.03 eV/atom
relative energy among the computed polymorphs: 1148 meV per atom
total DFT energy (no corrections): -0.279 Ry per atom

a = 5.2826 Å, b = 5.2826 Å, c = 5.2826 Å
α = 90.00°, β = 90.00°, γ = 90.00°
Atoms (fractional coordinates):
Nb 0.5000 0.5000 0.5000
Te 0.0000 0.5000 0.0000
Te 0.0000 0.0000 0.5000
Te 0.5000 0.0000 0.0000
As 0.0000 0.0000 0.0000

---

(22)
First-principles (PBE) data for a geometry-optimized NbTe3As structure, as listed in the Alexandria database.

Summary:
formation energy without anion corrections: -0.12 eV/atom
relative energy among the computed polymorphs: 0 meV per atom
total DFT energy (no corrections): -0.364 Ry per atom

a = 4.7089 Å, b = 7.9764 Å, c = 9.6143 Å
α = 114.47°, β = 104.17°, γ = 90.00°
Atoms (fractional coordinates):
Nb 0.2745 0.7552 0.5123
Nb 0.7622 0.2448 0.4877
Te 0.4237 0.0495 0.8107
Te 0.1209 0.7244 0.2050
Te 0.9159 0.2756 0.7950
Te 0.8537 0.6390 0.6707
Te 0.6130 0.9505 0.1893
Te 0.1829 0.3610 0.3293
As 0.2754 0.1260 0.5140
As 0.7613 0.8740 0.4860

---

(23)
First-principles (PBE) data for a geometry-optimized Nb3Te3As structure, as listed in the Alexandria database.

Summary:
formation energy without anion corrections: -0.56 eV/atom
total DFT energy (no corrections): -0.506 Ry per atom

a = 10.5035 Å, b = 10.5035 Å, c = 3.5860 Å
α = 90.00°, β = 90.00°, γ = 120.00°
Atoms (fractional coordinates):
Nb 0.6221 0.1259 0.7500
Nb 0.5038 0.3779 0.7500
Nb 0.3779 0.8741 0.2500
Nb 0.8741 0.4962 0.7500
Nb 0.4962 0.6221 0.2500
Nb 0.1259 0.5038 0.2500
Te 0.7229 0.6699 0.7500
Te 0.2771 0.3301 0.2500
Te 0.6699 0.9470 0.2500
Te 0.9470 0.2771 0.7500
Te 0.0530 0.7229 0.2500
Te 0.3301 0.0530 0.7500
As 0.3333 0.6667 0.7500
As 0.6667 0.3333 0.2500

---

(24)
First-principles (PBE) data for a geometry-optimized Nb4Te5As structure, as listed in the Alexandria database.

Summary:
formation energy without anion corrections: -0.34 eV/atom
total DFT energy (no corrections): -0.471 Ry per atom

a = 3.6516 Å, b = 8.1774 Å, c = 8.6257 Å
α = 98.22°, β = 102.22°, γ = 90.00°
Atoms (fractional coordinates):
Nb 0.6491 0.1106 0.2983
Nb 0.0134 0.2244 0.0267
Nb 0.3509 0.8894 0.7017
Nb 0.9866 0.7756 0.9733
Te 0.1727 0.3685 0.3455
Te 0.1711 0.8510 0.3422
Te 0.8289 0.1490 0.6578
Te 0.5000 0.5000 0.0000
Te 0.8273 0.6315 0.6545
As 0.5000 0.0000 0.0000

---

(25)
First-principles (PBE) data for a geometry-optimized NbTeAs3 structure, as listed in the Alexandria database.

Summary:
formation energy without anion corrections: 1.49 eV/atom
relative energy among the computed polymorphs: 1131 meV per atom
total DFT energy (no corrections): -0.290 Ry per atom

a = 5.1279 Å, b = 5.1279 Å, c = 5.1279 Å
α = 90.00°, β = 90.00°, γ = 90.00°
Atoms (fractional coordinates):
Nb 0.5000 0.5000 0.5000
Te 0.0000 0.0000 0.0000
As 0.0000 0.5000 0.0000
As 0.0000 0.0000 0.5000
As 0.5000 0.0000 0.0000